## w
This record from the Alexandria database describes a relaxed La2MoH crystal. The functional is PBE.

Unit cell a=5.457 b=5.457 c=7.590 alpha=68.93 beta=68.93 gamma=90.00
Sites, in units of the cell vectors:
H (0.500, 0.500, 0.000)
H (0.250, 0.750, 0.500)
Mo (0.000, 0.000, 0.000)
Mo (0.750, 0.250, 0.500)
La (0.610, 0.125, 0.250)
La (0.140, 0.625, 0.250)
La (0.375, 0.390, 0.750)
La (0.875, 0.860, 0.750)

***

## x
This record from the Alexandria database describes a relaxed La2MoH crystal. The functional is PBE.

Unit cell a=4.945 b=4.945 c=4.945 alpha=60.00 beta=60.00 gamma=60.00
Sites, in units of the cell vectors:
H (0.000, 0.000, 0.000)
Mo (0.500, 0.500, 0.500)
La (0.250, 0.250, 0.250)
La (0.750, 0.750, 0.750)

***

The least stable of them is x.

***

## w
This record from the Alexandria database describes a relaxed LaMoH3 crystal. The functional is PBE.

Unit cell a=3.828 b=3.828 c=3.828 alpha=90.00 beta=90.00 gamma=90.00
Sites, in units of the cell vectors:
H (0.000, 0.500, 0.000)
H (0.000, 0.000, 0.500)
H (0.500, 0.000, 0.000)
Mo (0.000, 0.000, 0.000)
La (0.500, 0.500, 0.500)

***

## x
This record from the Alexandria database describes a relaxed LaMoH3 crystal. The functional is PBE.

Unit cell a=4.143 b=4.143 c=4.143 alpha=90.00 beta=90.00 gamma=90.00
Sites, in units of the cell vectors:
H (0.000, 0.500, 0.000)
H (0.000, 0.000, 0.500)
H (0.500, 0.000, 0.000)
Mo (0.500, 0.500, 0.500)
La (0.000, 0.000, 0.000)

***

The least stable of them is x.

***

## w
This record from the Alexandria database describes a relaxed La3HN crystal. The functional is PBE.

Unit cell a=6.968 b=5.926 c=7.505 alpha=86.86 beta=117.66 gamma=90.00
Sites, in units of the cell vectors:
La (0.918, 0.779, 0.346)
La (0.080, 0.301, 0.160)
La (0.428, 0.779, 0.346)
La (0.572, 0.221, 0.654)
La (0.082, 0.221, 0.654)
La (0.920, 0.699, 0.840)
H (0.236, 0.504, 0.473)
H (0.764, 0.496, 0.527)
N (0.774, 0.983, 0.547)
N (0.226, 0.017, 0.453)

***

## x
This record from the Alexandria database describes a relaxed La3HN crystal. The functional is PBE.

Unit cell a=5.017 b=5.017 c=5.017 alpha=90.00 beta=90.00 gamma=90.00
Sites, in units of the cell vectors:
H (0.500, 0.500, 0.500)
N (0.000, 0.000, 0.000)
La (0.000, 0.500, 0.000)
La (0.000, 0.000, 0.500)
La (0.500, 0.000, 0.000)

***

## y
This record from the Alexandria database describes a relaxed La3HN crystal. The functional is PBE.

Unit cell a=3.775 b=6.563 c=9.755 alpha=104.05 beta=90.00 gamma=90.00
Sites, in units of the cell vectors:
La (0.250, 0.223, 0.584)
La (0.250, 0.788, 0.733)
La (0.750, 0.777, 0.416)
La (0.250, 0.750, 0.097)
La (0.750, 0.250, 0.903)
La (0.750, 0.212, 0.267)
H (0.250, 0.469, 0.848)
H (0.750, 0.531, 0.152)
N (0.250, 0.997, 0.332)
N (0.750, 0.003, 0.668)

***

The least stable of them is x.